Sr4TmCr3O12 | Alexandria | PBE+U | relaxed; E_tot = -6.976 eV/atom; theoretical density = 5718 kg/m3
1.0
-5.664 2.306 -3.176
1.954 -5.969 -2.835
-1.349 -0.966 6.688
Sr O Cr Tm
4 12 3 1
Cartesian
-2.832 1.153 -1.588 Sr
0.977 -2.985 -1.417 Sr
-2.530 -2.315 0.338 Sr
-0.675 -0.483 3.344 Sr
-3.355 -1.064 2.719 O
-1.451 -3.133 2.804 O
-0.993 -0.981 -1.610 O
0.162 -1.857 1.032 O
-1.704 -3.565 -2.042 O
-1.878 0.359 0.940 O
0.442 -5.078 2.821 O
-3.608 -1.496 -2.128 O
-4.434 -0.246 0.253 O
-2.717 -2.682 -4.401 O
-5.135 0.981 2.571 O
-0.625 -4.383 0.424 O
-1.855 -1.831 -3.006 Cr
-3.507 0.670 1.756 Cr
0.302 -3.468 1.926 Cr
0.000 0.000 0.000 Tm